Below is a geometry-optimized MnAg2Ir structure, with properties calculated at the GGA-PBEsol level. Values from VASP.

Output
DFT formation energy = 0.223 eV/atom
calculated total energy = -6.329 eV/atom
M_tot = 3.6 μB per formula unit

Structure (Quantum ESPRESSO input):
```
&SYSTEM
  ibrav = 0, nat = 4, ntyp = 3
/
ATOMIC_SPECIES
Mn 54.94 Mn.upf
Ag 107.87 Ag.upf
Ir 192.22 Ir.upf
ATOMIC_POSITIONS crystal
Mn 0.000 0.000 0.000
Ag 0.000 0.000 0.534
Ag 0.500 0.500 0.278
Ir 0.500 0.500 0.810
CELL_PARAMETERS angstrom
2.866 0.000 0.000
0.000 3.582 0.000
0.000 0.000 5.886
```